Crystalline NaBeO2F at its relaxed geometry. Source: the Alexandria database, functional GGA-PBE.

Geometry as extended XYZ:
```
5
Lattice="3.309 0.000 0.000 0.000 3.309 0.000 0.000 0.000 4.531" Properties=species:S:1:pos:R:3 pbc="T T T"
Na 1.654 1.654 2.266
Be 0.000 0.000 0.000
O 0.000 1.654 0.000
O 1.654 0.000 0.000
F 0.000 0.000 2.266
```

Output
- Uncorrected formation energy: -7.69 eV per formula unit
- Magnetization: 1.50 μB per cell

***

Crystalline LiPmErRu at its relaxed geometry. Source: the Alexandria database, functional GGA-PBE.

Geometry as extended XYZ:
```
4
Lattice="4.952 0.000 0.000 2.476 4.288 0.000 2.476 1.429 4.043" Properties=species:S:1:pos:R:3 pbc="T T T"
Ru 7.428 4.288 3.032
Pm 4.952 2.859 2.022
Li 2.476 1.429 1.011
Er 0.000 0.000 0.000
```

Output
- Formation enthalpy at 0 K: -237 meV per atom
- Magnetization: 0.00 μB per cell

***

Crystalline CsBBr2 at its relaxed geometry. Source: the Alexandria database, functional GGA-PBE.

Geometry as extended XYZ:
```
4
Lattice="4.884 -2.099 -2.012 3.055 -3.610 3.153 0.344 -5.477 -1.480" Properties=species:S:1:pos:R:3 pbc="T T T"
Cs 4.141 -5.593 -0.169
B 0.000 0.000 0.000
Br 2.071 -2.796 -0.085
Br 6.212 -8.389 -0.254
```

Output
- Uncorrected formation energy: 1.06 eV per formula unit
- Polymorph energy (0 for the lowest one): 320 meV/atom
- Magnetization: 0.00 μB per cell

***

Crystalline Li2CoBPb at its relaxed geometry. Source: the Alexandria database, functional GGA-PBE.

Geometry as extended XYZ:
```
5
Lattice="5.076 0.000 0.000 0.000 4.885 0.000 0.000 0.000 5.076" Properties=species:S:1:pos:R:3 pbc="T T T"
Pb 0.000 0.000 0.000
B 2.538 2.443 2.538
Co 0.000 2.443 0.000
Li 0.000 0.000 2.538
Li 2.538 0.000 0.000
```

Output
- Formation enthalpy at 0 K: 1507 meV per atom
- Magnetization: 1.66 μB per cell

***

Crystalline ScReW at its relaxed geometry. Source: the Alexandria database, functional GGA-PBE.

Geometry as extended XYZ:
```
3
Lattice="7.284 0.002 -0.001 6.558 2.706 0.008 0.726 -0.821 2.577" Properties=species:S:1:pos:R:3 pbc="T T T"
Re 0.799 -0.802 2.563
Sc 5.135 0.365 1.713
W 9.361 1.502 0.885
```

Output
- Polymorph energy (0 for the lowest one): 314 meV/atom
- Formation enthalpy at 0 K: 123 meV per atom
- Magnetization: 0.00 μB per cell

***

Crystalline Ac4Mg3In5 at its relaxed geometry. Source: the Alexandria database, functional GGA-PBE.

Geometry as extended XYZ:
```
12
Lattice="-1.240 -3.637 3.384 6.686 -1.154 5.082 -2.264 5.371 8.815" Properties=species:S:1:pos:R:3 pbc="T T T"
Ac -1.504 0.657 11.774
Ac 2.849 2.189 11.142
Ac 0.333 -1.609 6.139
Ac 4.686 -0.077 5.507
Mg 4.891 -0.049 9.485
Mg 2.211 2.108 6.949
Mg -1.709 0.629 7.796
In 3.572 1.465 14.502
In 1.591 0.290 8.641
In 2.342 -1.510 3.108
In 0.839 2.090 14.173
In -0.391 -0.885 2.779
```

Output
- Formation enthalpy at 0 K: -151 meV per atom
- Magnetization: 0.00 μB per cell

***

Crystalline La2Dy6Tm at its relaxed geometry. Source: the Alexandria database, functional GGA-PBE.

Geometry as extended XYZ:
```
9
Lattice="-1.742 3.113 -0.390 -1.270 -2.974 -1.556 -14.289 -5.270 21.734" Properties=species:S:1:pos:R:3 pbc="T T T"
La -6.265 -0.642 6.341
La -11.193 -2.460 13.836
Dy -14.366 -3.630 18.663
Dy -7.677 -3.250 8.339
Dy -12.704 -5.104 15.985
Dy -4.440 -2.056 3.415
Dy -9.467 -3.910 11.060
Dy -3.092 0.528 1.514
Tm -1.427 -0.945 -1.167
```

Output
- Polymorph energy (0 for the lowest one): 0 meV/atom
- Formation enthalpy at 0 K: 66 meV per atom
- Magnetization: 0.25 μB per cell

***

Crystalline NaMgAlTe3 at its relaxed geometry. Source: the Alexandria database, functional GGA-PBE.

Geometry as extended XYZ:
```
12
Lattice="-0.977 -3.938 -1.113 1.542 -2.717 8.259 -11.085 2.890 -0.493" Properties=species:S:1:pos:R:3 pbc="T T T"
Na -1.711 -1.056 1.263
Na -8.808 -2.708 5.390
Mg -0.321 -2.451 4.976
Mg -10.199 -1.314 1.676
Al -7.007 0.590 0.090
Al -3.512 -4.354 6.562
Te -1.025 -4.985 6.610
Te -9.494 1.220 0.042
Te -4.159 -1.785 5.990
Te -6.360 -1.980 0.662
Te -1.825 -3.728 2.866
Te -8.695 -0.036 3.787
```

Output
- Uncorrected formation energy: -4.12 eV per formula unit
- Magnetization: 0.00 μB per cell

***

Crystalline Cs2I4O11 at its relaxed geometry. Source: the Alexandria database, functional GGA-PBE.

Geometry as extended XYZ:
```
68
Lattice="7.608 0.000 0.000 0.000 13.039 -0.013 0.000 -4.328 13.858" Properties=species:S:1:pos:R:3 pbc="T T T"
Cs 5.751 3.291 12.996
Cs 5.715 3.285 7.881
Cs 1.893 5.426 5.964
Cs 1.947 9.776 7.771
Cs 5.661 -1.064 6.074
Cs 5.698 11.969 0.945
Cs 1.911 -3.258 12.899
Cs 1.857 5.420 0.848
I 5.541 9.857 10.130
I 1.697 10.080 0.077
I 7.320 2.228 3.646
I 0.146 8.922 3.688
I 0.288 6.483 10.198
I 2.107 1.396 7.012
I 3.658 0.238 10.623
I 4.092 6.583 10.569
I 2.067 -1.146 3.715
I 3.516 2.128 3.276
I 1.737 3.209 10.638
I 3.951 8.473 3.221
I 5.871 5.502 3.207
I 7.462 -0.211 10.157
I 5.502 7.315 6.832
I 5.911 -1.368 13.768
O 7.359 2.017 5.454
O 6.719 1.435 10.349
O 6.193 5.300 1.425
O 1.914 0.987 3.328
O 5.718 3.369 3.594
O 1.415 3.411 12.420
O 1.933 9.754 3.907
O 0.252 -1.127 3.655
O 2.915 -1.407 10.432
O 0.636 6.702 12.768
O 3.555 2.339 1.468
O 5.676 -1.043 9.938
O 0.849 3.635 3.424
O 3.552 3.228 10.577
O 1.890 5.343 10.251
O 6.972 2.009 1.076
O 5.695 7.724 10.516
O 6.051 5.907 5.781
O 0.364 9.352 1.110
O 1.557 2.804 8.064
O 4.653 0.721 3.499
O 4.168 8.043 5.799
O 4.440 6.365 7.999
O 6.759 5.077 10.421
O 5.737 7.641 3.002
O 2.247 11.487 1.128
O 0.249 6.694 8.391
O 7.244 -0.640 12.734
O 4.056 5.483 3.268
O 2.389 -0.945 5.498
O 2.955 7.990 10.346
O 4.059 0.254 12.404
O 0.889 7.277 3.496
O 3.168 2.346 5.846
O 0.255 -0.226 8.377
O 4.053 6.372 12.376
O 4.693 10.118 3.413
O 5.219 9.656 8.347
O 1.871 1.070 10.842
O 5.361 -2.776 12.717
O 3.549 8.458 1.441
O 3.440 0.668 8.046
O 7.353 8.937 5.468
O 7.356 9.838 10.190
```

Output
- Uncorrected formation energy: -11.85 eV per formula unit
- Polymorph energy (0 for the lowest one): 0 meV/atom
- Magnetization: 0.00 μB per cell

***

Crystalline BeCoRu at its relaxed geometry. Source: the Alexandria database, functional GGA-PBE.

Geometry as extended XYZ:
```
3
Lattice="2.601 0.000 0.000 -1.300 2.253 0.000 0.000 0.000 5.807" Properties=species:S:1:pos:R:3 pbc="T T T"
Ru 0.000 1.502 3.906
Co 1.300 0.751 1.844
Be 0.000 0.000 0.057
```

Output
- Polymorph energy (0 for the lowest one): 197 meV/atom
- Formation enthalpy at 0 K: 78 meV per atom
- Magnetization: 1.12 μB per cell

***

Crystalline Be2HgGeI at its relaxed geometry. Source: the Alexandria database, functional GGA-PBE.

Geometry as extended XYZ:
```
5
Lattice="4.816 0.000 0.000 0.000 5.654 0.000 0.000 0.000 4.816" Properties=species:S:1:pos:R:3 pbc="T T T"
I 0.000 0.000 0.000
Be 0.000 0.000 2.408
Be 2.408 0.000 0.000
Ge 0.000 2.827 0.000
Hg 2.408 2.827 2.408
```

Output
- Uncorrected formation energy: 7.01 eV per formula unit
- Magnetization: 0.00 μB per cell

***

Crystalline CsAcPbF6 at its relaxed geometry. Source: the Alexandria database, functional GGA-PBE.

Geometry as extended XYZ:
```
18
Lattice="-6.328 2.281 6.285 -4.538 -7.356 -1.899 8.802 -0.721 2.382" Properties=species:S:1:pos:R:3 pbc="T T T"
Cs -2.380 -2.555 5.273
Cs 0.316 -3.242 1.495
Ac 1.237 0.780 4.333
Ac 4.401 -0.361 1.191
Pb -5.433 -2.538 2.193
Pb -3.164 1.141 3.142
F 1.750 -4.629 3.442
F 0.085 0.934 6.489
F -3.173 0.989 5.635
F -3.560 -4.189 2.232
F -0.877 0.161 3.354
F -5.856 -3.361 4.512
F -3.814 -1.167 3.326
F -2.149 -6.731 0.279
F 1.109 -6.785 1.133
F 1.496 -1.608 4.536
F -1.187 -5.958 3.414
F 3.792 -2.436 2.256
```

Output
- Uncorrected formation energy: -28.68 eV per formula unit
- Magnetization: 0.00 μB per cell